1.
Density functional theory data (GGA-PBEsol) for an optimized crystal structure of CdOsIO2.

Values from the calculation:
Total magnetic moment in Bohr magnetons per cell: 0.0
Offset from the most stable computed form in kJ/mol of formula units: 0.0
E_tot in eV per atom: -5.332
Formation energy from raw total energies in eV per atom: -0.196

a = 3.8312 Å, b = 3.8312 Å, c = 7.6466 Å
α = 90.00°, β = 90.00°, γ = 90.00°
Space group P4/mmm (No. 123)
Unique sites:
Cd 0.0000 0.0000 0.0000 (multiplicity 1)
Os 0.5000 0.5000 0.5000 (multiplicity 1)
I 0.5000 0.5000 0.0000 (multiplicity 1)
O 0.0000 0.5000 0.5000 (multiplicity 2)

***

2.
Density functional theory data (GGA-PBEsol) for an optimized crystal structure of CdP2IO.

Values from the calculation:
Total magnetic moment in Bohr magnetons per cell: 0.0
E_tot in eV per atom: -3.165
Formation energy from raw total energies in eV per atom: 0.794

a = 5.0275 Å, b = 5.0275 Å, c = 4.0281 Å
α = 90.00°, β = 90.00°, γ = 90.00°
Space group P4/mmm (No. 123)
Unique sites:
Cd 0.0000 0.0000 0.0000 (multiplicity 1)
P 0.0000 0.5000 0.0000 (multiplicity 2)
I 0.5000 0.5000 0.5000 (multiplicity 1)
O 0.0000 0.0000 0.5000 (multiplicity 1)

***

3.
Density functional theory data (GGA-PBEsol) for an optimized crystal structure of CdPtI2O.

Values from the calculation:
Total magnetic moment in Bohr magnetons per cell: 0.0
E_tot in eV per atom: -3.435
Formation energy from raw total energies in eV per atom: -0.046

a = 5.5874 Å, b = 5.5874 Å, c = 3.8101 Å
α = 90.00°, β = 90.00°, γ = 90.00°
Space group P4/mmm (No. 123)
Unique sites:
Cd 0.0000 0.0000 0.0000 (multiplicity 1)
Pt 0.5000 0.5000 0.5000 (multiplicity 1)
I 0.0000 0.5000 0.5000 (multiplicity 2)
O 0.5000 0.5000 0.0000 (multiplicity 1)

***

4.
Density functional theory data (GGA-PBEsol) for an optimized crystal structure of CdPtIO2.

Values from the calculation:
Total magnetic moment in Bohr magnetons per cell: 1.0
E_tot in eV per atom: -3.995
Formation energy from raw total energies in eV per atom: 0.090

a = 4.0186 Å, b = 4.0186 Å, c = 5.5639 Å
α = 90.00°, β = 90.00°, γ = 90.00°
Space group P4/mmm (No. 123)
Unique sites:
Cd 0.0000 0.0000 0.0000 (multiplicity 1)
Pt 0.5000 0.5000 0.5000 (multiplicity 1)
I 0.5000 0.5000 0.0000 (multiplicity 1)
O 0.0000 0.5000 0.5000 (multiplicity 2)

***

5.
Density functional theory data (GGA-PBEsol) for an optimized crystal structure of CdRhIO2.

Values from the calculation:
Total magnetic moment in Bohr magnetons per cell: 1.3
E_tot in eV per atom: -4.407
Formation energy from raw total energies in eV per atom: -0.087

a = 3.9630 Å, b = 3.9630 Å, c = 5.4864 Å
α = 90.00°, β = 90.00°, γ = 90.00°
Space group P4/mmm (No. 123)
Unique sites:
Cd 0.0000 0.0000 0.0000 (multiplicity 1)
Rh 0.5000 0.5000 0.5000 (multiplicity 1)
I 0.5000 0.5000 0.0000 (multiplicity 1)
O 0.0000 0.5000 0.5000 (multiplicity 2)

***

6.
Density functional theory data (GGA-PBEsol) for an optimized crystal structure of ScCdI2O.

Values from the calculation:
Total magnetic moment in Bohr magnetons per cell: 0.8
E_tot in eV per atom: -3.579
Formation energy from raw total energies in eV per atom: -0.262

a = 5.8037 Å, b = 5.8037 Å, c = 3.9696 Å
α = 90.00°, β = 90.00°, γ = 90.00°
Space group P4/mmm (No. 123)
Unique sites:
Sc 0.0000 0.0000 0.0000 (multiplicity 1)
Cd 0.5000 0.5000 0.5000 (multiplicity 1)
I 0.0000 0.5000 0.5000 (multiplicity 2)
O 0.5000 0.5000 0.0000 (multiplicity 1)

***

7.
Density functional theory data (GGA-PBEsol) for an optimized crystal structure of ZrCdI2O.

Values from the calculation:
Total magnetic moment in Bohr magnetons per cell: 1.4
E_tot in eV per atom: -3.729
Formation energy from raw total energies in eV per atom: 0.085

a = 5.7725 Å, b = 5.7725 Å, c = 3.8995 Å
α = 90.00°, β = 90.00°, γ = 90.00°
Space group P4/mmm (No. 123)
Unique sites:
Zr 0.0000 0.0000 0.0000 (multiplicity 1)
Cd 0.5000 0.5000 0.5000 (multiplicity 1)
I 0.0000 0.5000 0.5000 (multiplicity 2)
O 0.5000 0.5000 0.0000 (multiplicity 1)

***

8.
Density functional theory data (GGA-PBEsol) for an optimized crystal structure of CdOsI3.

Values from the calculation:
Total magnetic moment in Bohr magnetons per cell: 5.0
E_tot in eV per atom: -2.342
Formation energy from raw total energies in eV per atom: 1.401

a = 5.6905 Å, b = 5.6905 Å, c = 5.6905 Å
α = 90.00°, β = 90.00°, γ = 90.00°
Space group Pm-3m (No. 221)
Unique sites:
Cd 0.0000 0.0000 0.0000 (multiplicity 1)
Os 0.5000 0.5000 0.5000 (multiplicity 1)
I 0.0000 0.0000 0.5000 (multiplicity 3)

***

9.
Density functional theory data (GGA-PBEsol) for an optimized crystal structure of CdOs2I2.

Values from the calculation:
Total magnetic moment in Bohr magnetons per cell: 0.0
E_tot in eV per atom: -4.764
Formation energy from raw total energies in eV per atom: 1.069

a = 4.0957 Å, b = 4.0957 Å, c = 14.7845 Å
α = 90.00°, β = 90.00°, γ = 90.00°
Space group I4/mmm (No. 139)
Unique sites:
Cd 0.0000 0.0000 0.0000 (multiplicity 2)
Os 0.0000 0.5000 0.2500 (multiplicity 4)
I 0.0000 0.0000 0.3572 (multiplicity 4)

***

10.
Density functional theory data (GGA-PBEsol) for an optimized crystal structure of CdSb2OsI.

Values from the calculation:
Total magnetic moment in Bohr magnetons per cell: 0.0
E_tot in eV per atom: -4.256
Formation energy from raw total energies in eV per atom: 0.603

a = 5.0244 Å, b = 5.0244 Å, c = 5.7386 Å
α = 90.00°, β = 90.00°, γ = 90.00°
Space group P4/mmm (No. 123)
Unique sites:
Cd 0.0000 0.0000 0.0000 (multiplicity 1)
Sb 0.0000 0.5000 0.5000 (multiplicity 2)
Os 0.5000 0.5000 0.5000 (multiplicity 1)
I 0.5000 0.5000 0.0000 (multiplicity 1)

***

11.
Density functional theory data (GGA-PBEsol) for an optimized crystal structure of Cd2P3I.

Values from the calculation:
Total magnetic moment in Bohr magnetons per cell: 0.0
E_tot in eV per atom: -3.804
Formation energy from raw total energies in eV per atom: -0.215

a = 8.2102 Å, b = 9.2491 Å, c = 7.4615 Å
α = 90.00°, β = 99.76°, γ = 90.00°
Space group C2/c (No. 15)
Unique sites:
Cd 0.2487 0.1446 0.2148 (multiplicity 8)
P 0.0000 0.3037 0.2500 (multiplicity 4)
P 0.1131 0.4543 0.4643 (multiplicity 8)
I 0.0000 0.1198 0.7500 (multiplicity 4)

***

12.
Density functional theory data (GGA-PBEsol) for an optimized crystal structure of CdPb3I.

Values from the calculation:
Total magnetic moment in Bohr magnetons per cell: 0.0
E_tot in eV per atom: -2.222
Formation energy from raw total energies in eV per atom: 0.770

a = 5.8967 Å, b = 5.8967 Å, c = 5.8967 Å
α = 90.00°, β = 90.00°, γ = 90.00°
Space group Pm-3m (No. 221)
Unique sites:
Cd 0.0000 0.0000 0.0000 (multiplicity 1)
Pb 0.0000 0.5000 0.5000 (multiplicity 3)
I 0.5000 0.5000 0.5000 (multiplicity 1)

***

13.
Density functional theory data (GGA-PBEsol) for an optimized crystal structure of CdSbPbI2.

Values from the calculation:
Total magnetic moment in Bohr magnetons per cell: 0.0
E_tot in eV per atom: -2.425
Formation energy from raw total energies in eV per atom: 0.232

a = 5.6155 Å, b = 5.6155 Å, c = 5.6311 Å
α = 90.00°, β = 90.00°, γ = 90.00°
Space group P4/mmm (No. 123)
Unique sites:
Cd 0.0000 0.0000 0.0000 (multiplicity 1)
Sb 0.0000 0.0000 0.5000 (multiplicity 1)
Pb 0.5000 0.5000 0.5000 (multiplicity 1)
I 0.0000 0.5000 0.0000 (multiplicity 2)

***

14.
Density functional theory data (GGA-PBEsol) for an optimized crystal structure of CdSb2PbI.

Values from the calculation:
Total magnetic moment in Bohr magnetons per cell: 1.1
E_tot in eV per atom: -2.488
Formation energy from raw total energies in eV per atom: 0.727

a = 5.7708 Å, b = 5.7708 Å, c = 5.9939 Å
α = 90.00°, β = 90.00°, γ = 90.00°
Space group P4/mmm (No. 123)
Unique sites:
Cd 0.0000 0.0000 0.0000 (multiplicity 1)
Sb 0.0000 0.5000 0.5000 (multiplicity 2)
Pb 0.5000 0.5000 0.5000 (multiplicity 1)
I 0.5000 0.5000 0.0000 (multiplicity 1)

***

15.
Density functional theory data (GGA-PBEsol) for an optimized crystal structure of Sc2CdPbI.

Values from the calculation:
Total magnetic moment in Bohr magnetons per cell: 0.0
E_tot in eV per atom: -3.507
Formation energy from raw total energies in eV per atom: 0.528

a = 5.4659 Å, b = 5.4659 Å, c = 6.1242 Å
α = 90.00°, β = 90.00°, γ = 90.00°
Space group P4/mmm (No. 123)
Unique sites:
Sc 0.0000 0.5000 0.0000 (multiplicity 2)
Cd 0.0000 0.0000 0.5000 (multiplicity 1)
Pb 0.5000 0.5000 0.0000 (multiplicity 1)
I 0.5000 0.5000 0.5000 (multiplicity 1)

***

16.
Density functional theory data (GGA-PBEsol) for an optimized crystal structure of TiCdPbI2.

Values from the calculation:
Total magnetic moment in Bohr magnetons per cell: 2.4
E_tot in eV per atom: -2.780
Formation energy from raw total energies in eV per atom: 0.630

a = 6.1227 Å, b = 6.1227 Å, c = 5.5967 Å
α = 90.00°, β = 90.00°, γ = 90.00°
Space group P4/mmm (No. 123)
Unique sites:
Ti 0.0000 0.0000 0.0000 (multiplicity 1)
Cd 0.5000 0.5000 0.0000 (multiplicity 1)
Pb 0.0000 0.0000 0.5000 (multiplicity 1)
I 0.0000 0.5000 0.5000 (multiplicity 2)

***

17.
Density functional theory data (GGA-PBEsol) for an optimized crystal structure of CdPdI3.

Values from the calculation:
Total magnetic moment in Bohr magnetons per cell: 1.0
E_tot in eV per atom: -2.004
Formation energy from raw total energies in eV per atom: 0.487

a = 5.7037 Å, b = 5.7037 Å, c = 5.7037 Å
α = 90.00°, β = 90.00°, γ = 90.00°
Space group Pm-3m (No. 221)
Unique sites:
Cd 0.0000 0.0000 0.0000 (multiplicity 1)
Pd 0.5000 0.5000 0.5000 (multiplicity 1)
I 0.0000 0.0000 0.5000 (multiplicity 3)

***

18.
Density functional theory data (GGA-PBEsol) for an optimized crystal structure of CdSb2PdI.

Values from the calculation:
Total magnetic moment in Bohr magnetons per cell: 0.0
E_tot in eV per atom: -3.270
Formation energy from raw total energies in eV per atom: 0.337

a = 5.1727 Å, b = 5.1727 Å, c = 5.4701 Å
α = 90.00°, β = 90.00°, γ = 90.00°
Space group P4/mmm (No. 123)
Unique sites:
Cd 0.0000 0.0000 0.0000 (multiplicity 1)
Sb 0.0000 0.5000 0.5000 (multiplicity 2)
Pd 0.5000 0.5000 0.5000 (multiplicity 1)
I 0.5000 0.5000 0.0000 (multiplicity 1)

***

19.
Density functional theory data (GGA-PBEsol) for an optimized crystal structure of Sc2CdPdI.

Values from the calculation:
Total magnetic moment in Bohr magnetons per cell: 0.0
E_tot in eV per atom: -3.537
Formation energy from raw total energies in eV per atom: 0.889

a = 5.2574 Å, b = 5.2574 Å, c = 5.4137 Å
α = 90.00°, β = 90.00°, γ = 90.00°
Space group P4/mmm (No. 123)
Unique sites:
Sc 0.0000 0.5000 0.0000 (multiplicity 2)
Cd 0.0000 0.0000 0.0000 (multiplicity 1)
Pd 0.5000 0.5000 0.5000 (multiplicity 1)
I 0.0000 0.0000 0.5000 (multiplicity 1)

***

20.
Density functional theory data (GGA-PBEsol) for an optimized crystal structure of TiCdPtI2.

Values from the calculation:
Total magnetic moment in Bohr magnetons per cell: 1.8
E_tot in eV per atom: -3.599
Formation energy from raw total energies in eV per atom: 0.404

a = 5.4640 Å, b = 5.4640 Å, c = 4.9276 Å
α = 90.00°, β = 90.00°, γ = 90.00°
Space group P4/mmm (No. 123)
Unique sites:
Ti 0.0000 0.0000 0.0000 (multiplicity 1)
Cd 0.5000 0.5000 0.0000 (multiplicity 1)
Pt 0.0000 0.0000 0.5000 (multiplicity 1)
I 0.0000 0.5000 0.5000 (multiplicity 2)